CaDy2Zn: optimized geometry, GGA-PBE. Values from VASP.

The structure in Quantum ESPRESSO input format:
```
&SYSTEM
  ibrav = 0, nat = 4, ntyp = 3
/
ATOMIC_SPECIES
Ca 40.08 Ca.upf
Zn 65.41 Zn.upf
Dy 162.50 Dy.upf
CELL_PARAMETERS angstrom
3.625 0.000 0.000
0.000 3.625 0.000
0.000 0.000 9.021
ATOMIC_POSITIONS crystal
Ca 0.500 0.500 0.500
Zn 0.500 0.500 0.000
Dy 0.000 0.000 0.186
Dy 0.000 0.000 0.814
```

Total magnetization ... 0.00 μB/atom
Crystal system ... tetragonal
D(E_F) ... 5.903 states/eV/f.u.
Raw total energy ... -12.9 eV/cell
Formation energy from the elements ... -0.11 eV/atom


Pr2LuTl: optimized geometry, GGA-PBE. Values from VASP.

The structure in Quantum ESPRESSO input format:
```
&SYSTEM
  ibrav = 0, nat = 4, ntyp = 3
/
ATOMIC_SPECIES
Tl 204.38 Tl.upf
Pr 140.91 Pr.upf
Lu 174.97 Lu.upf
CELL_PARAMETERS angstrom
-0.070 -3.572 -0.775
1.518 -0.734 3.244
-8.738 -0.682 3.934
ATOMIC_POSITIONS crystal
Tl 0.500 0.500 0.000
Pr 0.000 0.000 0.765
Pr 0.000 0.000 0.235
Lu 0.500 0.500 0.500
```

Total magnetization ... 0.00 μB/atom
Crystal system ... tetragonal
D(E_F) ... 7.161 states/eV/f.u.
Raw total energy ... -17.0 eV/cell
Formation energy from the elements ... -0.13 eV/atom


RuSe: optimized geometry, GGA-PBE. Values from VASP.

The structure in Quantum ESPRESSO input format:
```
&SYSTEM
  ibrav = 0, nat = 2, ntyp = 2
/
ATOMIC_SPECIES
Ru 101.07 Ru.upf
Se 78.96 Se.upf
CELL_PARAMETERS angstrom
3.201 0.000 0.000
-1.601 2.772 0.000
0.000 0.000 3.667
ATOMIC_POSITIONS crystal
Ru 0.000 0.000 0.000
Se 0.333 0.667 0.500
```

Total magnetization ... 0.00 μB/atom
Crystal system ... hexagonal
Energy relative to the elements, uncorrected ... 0.31 eV/atom
D(E_F) ... 1.521 states/eV/f.u.
Raw total energy ... -12.1 eV/cell


AcTc2H8: optimized geometry, GGA-PBE. Values from VASP.

The structure in Quantum ESPRESSO input format:
```
&SYSTEM
  ibrav = 0, nat = 11, ntyp = 3
/
ATOMIC_SPECIES
H 1.01 H.upf
Tc 98.00 Tc.upf
Ac 227.00 Ac.upf
CELL_PARAMETERS angstrom
3.682 0.200 0.300
-0.324 5.287 -0.228
-0.324 -2.247 4.791
ATOMIC_POSITIONS crystal
H 0.226 0.568 0.568
H 0.774 0.432 0.432
H 0.500 0.297 0.703
H 0.500 0.703 0.297
H 0.989 0.672 0.978
H 0.011 0.022 0.328
H 0.011 0.328 0.022
H 0.989 0.978 0.672
Tc 0.000 0.673 0.327
Tc 0.000 0.327 0.673
Ac 0.500 0.000 0.000
```

Total magnetization ... 0.02 μB/atom
Crystal system ... monoclinic
D(E_F) ... 5.021 states/eV/f.u.
Raw total energy ... -53.1 eV/cell